Computed, not measured: a relaxed structure of CaZn2Pd2 at the PBEsol level of DFT.

Its total magnetization is 0.0 Bohr magnetons per cell. The uncorrected energy comes out at -3.9634 eV per atom. The excess energy over the best structure of this formula in the dataset comes out at 0 meV/atom. The formation energy is -0.5205 eV per atom. The volume comes out at 16.32 Å³ per atom.

Lattice parameters (Å, degrees): 7.504 7.504 2.899 90.00 90.00 90.00
Atoms (fractional coordinates):
1 Ca 0.000 0.000 0.000
2 Ca 0.500 0.500 0.000
3 Zn 0.139 0.361 0.500
4 Zn 0.361 0.861 0.500
5 Zn 0.639 0.139 0.500
6 Zn 0.861 0.639 0.500
7 Pd 0.155 0.655 0.000
8 Pd 0.345 0.155 0.000
9 Pd 0.655 0.845 0.000
10 Pd 0.845 0.345 0.000

---

Computed, not measured: a relaxed structure of CaZr3Pd at the PBEsol level of DFT.

Its total magnetization is 0.0 Bohr magnetons per cell. The uncorrected energy comes out at -5.4490 eV per atom. The formation energy is 1.6232 eV per atom. The volume comes out at 22.76 Å³ per atom.

Lattice parameters (Å, degrees): 4.846 4.846 4.846 90.00 90.00 90.00
Atoms (fractional coordinates):
1 Ca 0.000 0.000 0.000
2 Zr 0.000 0.000 0.500
3 Zr 0.000 0.500 0.000
4 Zr 0.500 0.000 0.000
5 Pd 0.500 0.500 0.500

---

Computed, not measured: a relaxed structure of CaZrPd at the PBEsol level of DFT.

Its total magnetization is 0.0 Bohr magnetons per cell. The uncorrected energy comes out at -4.9257 eV per atom. The formation energy is 0.8015 eV per atom. The volume comes out at 22.32 Å³ per atom.

Lattice parameters (Å, degrees): 6.446 6.446 6.446 90.00 90.00 90.00
Atoms (fractional coordinates):
1 Ca 0.000 0.000 0.000
2 Ca 0.000 0.500 0.500
3 Ca 0.500 0.000 0.500
4 Ca 0.500 0.500 0.000
5 Zr 0.250 0.250 0.250
6 Zr 0.250 0.750 0.750
7 Zr 0.750 0.250 0.750
8 Zr 0.750 0.750 0.250
9 Pd 0.250 0.250 0.750
10 Pd 0.250 0.750 0.250
11 Pd 0.750 0.250 0.250
12 Pd 0.750 0.750 0.750

---

Computed, not measured: a relaxed structure of Ca3ZrPd at the PBEsol level of DFT.

Its total magnetization is 1.1 Bohr magnetons per cell. The uncorrected energy comes out at -3.1043 eV per atom. The formation energy is 1.1853 eV per atom. The volume comes out at 30.38 Å³ per atom.

Lattice parameters (Å, degrees): 5.336 5.336 5.336 90.00 90.00 90.00
Atoms (fractional coordinates):
1 Ca 0.000 0.000 0.500
2 Ca 0.000 0.500 0.000
3 Ca 0.500 0.000 0.000
4 Zr 0.000 0.000 0.000
5 Pd 0.500 0.500 0.500

---

Computed, not measured: a relaxed structure of CaPm3 at the PBEsol level of DFT.

Its total magnetization is 0.0 Bohr magnetons per cell. The uncorrected energy comes out at -4.2857 eV per atom. The formation energy is 0.1001 eV per atom. The volume comes out at 33.56 Å³ per atom.

Lattice parameters (Å, degrees): 7.291 7.291 5.832 90.00 90.00 120.00
Atoms (fractional coordinates):
1 Ca 0.333 0.667 0.250
2 Ca 0.667 0.333 0.750
3 Pm 0.163 0.327 0.750
4 Pm 0.163 0.837 0.750
5 Pm 0.327 0.163 0.250
6 Pm 0.673 0.837 0.750
7 Pm 0.837 0.163 0.250
8 Pm 0.837 0.673 0.250

---

Computed, not measured: a relaxed structure of CaPmPt2 at the PBEsol level of DFT.

Its total magnetization is 0.0 Bohr magnetons per cell. The uncorrected energy comes out at -6.2478 eV per atom. The formation energy is -0.9485 eV per atom. The volume comes out at 21.03 Å³ per atom.

Lattice parameters (Å, degrees): 6.955 6.955 6.955 90.00 90.00 90.00
Atoms (fractional coordinates):
1 Ca 0.000 0.000 0.000
2 Ca 0.000 0.500 0.500
3 Ca 0.500 0.000 0.500
4 Ca 0.500 0.500 0.000
5 Pm 0.000 0.000 0.500
6 Pm 0.000 0.500 0.000
7 Pm 0.500 0.000 0.000
8 Pm 0.500 0.500 0.500
9 Pt 0.250 0.250 0.250
10 Pt 0.250 0.250 0.750
11 Pt 0.250 0.750 0.250
12 Pt 0.250 0.750 0.750
13 Pt 0.750 0.250 0.250
14 Pt 0.750 0.250 0.750
15 Pt 0.750 0.750 0.250
16 Pt 0.750 0.750 0.750

---

Computed, not measured: a relaxed structure of CaPmRh2 at the PBEsol level of DFT.

Its total magnetization is 0.0 Bohr magnetons per cell. The uncorrected energy comes out at -6.3441 eV per atom. The formation energy is -0.4575 eV per atom. The volume comes out at 19.63 Å³ per atom.

Lattice parameters (Å, degrees): 6.798 6.798 6.798 90.00 90.00 90.00
Atoms (fractional coordinates):
1 Ca 0.000 0.000 0.000
2 Ca 0.000 0.500 0.500
3 Ca 0.500 0.000 0.500
4 Ca 0.500 0.500 0.000
5 Pm 0.000 0.000 0.500
6 Pm 0.000 0.500 0.000
7 Pm 0.500 0.000 0.000
8 Pm 0.500 0.500 0.500
9 Rh 0.250 0.250 0.250
10 Rh 0.250 0.250 0.750
11 Rh 0.250 0.750 0.250
12 Rh 0.250 0.750 0.750
13 Rh 0.750 0.250 0.250
14 Rh 0.750 0.250 0.750
15 Rh 0.750 0.750 0.250
16 Rh 0.750 0.750 0.750

---

Computed, not measured: a relaxed structure of CaPmZn2 at the PBEsol level of DFT.

Its total magnetization is 0.0 Bohr magnetons per cell. The uncorrected energy comes out at -2.8891 eV per atom. The formation energy is -0.2806 eV per atom. The volume comes out at 23.10 Å³ per atom.

Lattice parameters (Å, degrees): 7.176 7.176 7.176 90.00 90.00 90.00
Atoms (fractional coordinates):
1 Ca 0.000 0.000 0.000
2 Ca 0.000 0.500 0.500
3 Ca 0.500 0.000 0.500
4 Ca 0.500 0.500 0.000
5 Pm 0.000 0.000 0.500
6 Pm 0.000 0.500 0.000
7 Pm 0.500 0.000 0.000
8 Pm 0.500 0.500 0.500
9 Zn 0.250 0.250 0.250
10 Zn 0.250 0.250 0.750
11 Zn 0.250 0.750 0.250
12 Zn 0.250 0.750 0.750
13 Zn 0.750 0.250 0.250
14 Zn 0.750 0.250 0.750
15 Zn 0.750 0.750 0.250
16 Zn 0.750 0.750 0.750

---

Computed, not measured: a relaxed structure of CaPrZn2 at the PBEsol level of DFT.

Its total magnetization is 0.0 Bohr magnetons per cell. The uncorrected energy comes out at -2.8986 eV per atom. The formation energy is -0.2782 eV per atom. The volume comes out at 23.69 Å³ per atom.

Lattice parameters (Å, degrees): 7.238 7.238 7.238 90.00 90.00 90.00
Atoms (fractional coordinates):
1 Ca 0.000 0.000 0.000
2 Ca 0.000 0.500 0.500
3 Ca 0.500 0.000 0.500
4 Ca 0.500 0.500 0.000
5 Pr 0.000 0.000 0.500
6 Pr 0.000 0.500 0.000
7 Pr 0.500 0.000 0.000
8 Pr 0.500 0.500 0.500
9 Zn 0.250 0.250 0.250
10 Zn 0.250 0.250 0.750
11 Zn 0.250 0.750 0.250
12 Zn 0.250 0.750 0.750
13 Zn 0.750 0.250 0.250
14 Zn 0.750 0.250 0.750
15 Zn 0.750 0.750 0.250
16 Zn 0.750 0.750 0.750

---

Computed, not measured: a relaxed structure of Ca2Pt at the PBEsol level of DFT.

Its total magnetization is 0.0 Bohr magnetons per cell. The uncorrected energy comes out at -4.4526 eV per atom. The formation energy is -0.7093 eV per atom. The volume comes out at 24.86 Å³ per atom.

Lattice parameters (Å, degrees): 7.734 7.734 4.319 90.00 90.00 120.00
Atoms (fractional coordinates):
1 Ca 0.000 0.257 0.000
2 Ca 0.000 0.589 0.500
3 Ca 0.257 0.000 0.000
4 Ca 0.411 0.411 0.500
5 Ca 0.589 0.000 0.500
6 Ca 0.743 0.743 0.000
7 Pt 0.000 0.000 0.500
8 Pt 0.333 0.667 0.000
9 Pt 0.667 0.333 0.000

---

Computed, not measured: a relaxed structure of Ca2Pt at the PBEsol level of DFT.

Its total magnetization is 0.0 Bohr magnetons per cell. The uncorrected energy comes out at -3.9540 eV per atom. The formation energy is -0.2108 eV per atom. The volume comes out at 21.47 Å³ per atom.

Lattice parameters (Å, degrees): 4.901 4.901 3.096 90.00 90.00 120.00
Atoms (fractional coordinates):
1 Ca 0.333 0.667 0.000
2 Ca 0.667 0.333 0.000
3 Pt 0.000 0.000 0.500

---

Computed, not measured: a relaxed structure of Ca2Pt at the PBEsol level of DFT.

Its total magnetization is 0.0 Bohr magnetons per cell. The uncorrected energy comes out at -3.3356 eV per atom. The formation energy is 0.4077 eV per atom. The volume comes out at 22.37 Å³ per atom.

Lattice parameters (Å, degrees): 5.747 5.747 5.747 60.00 60.00 60.00
Atoms (fractional coordinates):
1 Ca 0.000 0.000 0.000
2 Ca 0.000 0.000 0.500
3 Ca 0.000 0.500 0.000
4 Ca 0.500 0.000 0.000
5 Pt 0.375 0.375 0.375
6 Pt 0.625 0.625 0.625

---

Computed, not measured: a relaxed structure of Ca2Pt at the PBEsol level of DFT.

Its total magnetization is 0.0 Bohr magnetons per cell. The uncorrected energy comes out at -4.3938 eV per atom. The formation energy is -0.6506 eV per atom. The volume comes out at 28.14 Å³ per atom.

Lattice parameters (Å, degrees): 6.964 6.964 6.964 90.00 90.00 90.00
Atoms (fractional coordinates):
1 Ca 0.169 0.169 0.169
2 Ca 0.169 0.331 0.669
3 Ca 0.331 0.669 0.169
4 Ca 0.331 0.831 0.669
5 Ca 0.669 0.169 0.331
6 Ca 0.669 0.331 0.831
7 Ca 0.831 0.669 0.331
8 Ca 0.831 0.831 0.831
9 Pt 0.000 0.000 0.500
10 Pt 0.000 0.500 0.000
11 Pt 0.500 0.000 0.000
12 Pt 0.500 0.500 0.500

---

Computed, not measured: a relaxed structure of CaPt5 at the PBEsol level of DFT.

Its total magnetization is 0.0 Bohr magnetons per cell. The uncorrected energy comes out at -6.6555 eV per atom. The formation energy is -0.4970 eV per atom. The volume comes out at 17.74 Å³ per atom.

Lattice parameters (Å, degrees): 5.307 5.307 4.366 90.00 90.00 120.00
Atoms (fractional coordinates):
1 Ca 0.000 0.000 0.000
2 Pt 0.000 0.500 0.500
3 Pt 0.333 0.667 0.000
4 Pt 0.500 0.000 0.500
5 Pt 0.500 0.500 0.500
6 Pt 0.667 0.333 0.000

---

Computed, not measured: a relaxed structure of Ca2Pt at the PBEsol level of DFT.

Its total magnetization is 0.0 Bohr magnetons per cell. The uncorrected energy comes out at -4.3903 eV per atom. The formation energy is -0.6471 eV per atom. The volume comes out at 26.77 Å³ per atom.

Lattice parameters (Å, degrees): 3.846 12.474 6.697 90.00 90.00 90.00
Atoms (fractional coordinates):
1 Ca 0.000 0.012 0.000
2 Ca 0.000 0.278 0.812
3 Ca 0.000 0.722 0.312
4 Ca 0.000 0.988 0.500
5 Ca 0.500 0.222 0.312
6 Ca 0.500 0.488 0.500
7 Ca 0.500 0.512 0.000
8 Ca 0.500 0.778 0.812
9 Pt 0.000 0.384 0.224
10 Pt 0.000 0.616 0.724
11 Pt 0.500 0.116 0.724
12 Pt 0.500 0.884 0.224

---

Computed, not measured: a relaxed structure of CaPt7 at the PBEsol level of DFT.

Its total magnetization is 0.0 Bohr magnetons per cell. The uncorrected energy comes out at -6.6552 eV per atom. The formation energy is -0.2955 eV per atom. The volume comes out at 15.54 Å³ per atom.

Lattice parameters (Å, degrees): 5.602 5.602 5.602 60.00 60.00 60.00
Atoms (fractional coordinates):
1 Ca 0.000 0.000 0.000
2 Pt 0.000 0.000 0.500
3 Pt 0.000 0.500 0.000
4 Pt 0.000 0.500 0.500
5 Pt 0.500 0.000 0.000
6 Pt 0.500 0.000 0.500
7 Pt 0.500 0.500 0.000
8 Pt 0.500 0.500 0.500

---

Computed, not measured: a relaxed structure of Ca2Pt at the PBEsol level of DFT.

Its total magnetization is 0.0 Bohr magnetons per cell. The uncorrected energy comes out at -4.3652 eV per atom. The formation energy is -0.6220 eV per atom. The volume comes out at 30.18 Å³ per atom.

Lattice parameters (Å, degrees): 6.571 6.575 4.191 90.00 90.00 90.00
Atoms (fractional coordinates):
1 Ca 0.161 0.239 0.000
2 Ca 0.339 0.739 0.500
3 Ca 0.661 0.261 0.500
4 Ca 0.839 0.761 0.000
5 Pt 0.000 0.000 0.500
6 Pt 0.500 0.500 0.000

---

Computed, not measured: a relaxed structure of Ca3Pt at the PBEsol level of DFT.

Its total magnetization is 0.0 Bohr magnetons per cell. The uncorrected energy comes out at -3.5715 eV per atom. The formation energy is -0.2307 eV per atom. The volume comes out at 25.12 Å³ per atom.

Lattice parameters (Å, degrees): 5.019 5.019 7.978 90.00 90.00 90.00
Atoms (fractional coordinates):
1 Ca 0.000 0.000 0.000
2 Ca 0.000 0.500 0.250
3 Ca 0.000 0.500 0.750
4 Ca 0.500 0.000 0.250
5 Ca 0.500 0.000 0.750
6 Ca 0.500 0.500 0.500
7 Pt 0.000 0.000 0.500
8 Pt 0.500 0.500 0.000

---

Computed, not measured: a relaxed structure of CaPt at the PBEsol level of DFT.

Its total magnetization is 0.0 Bohr magnetons per cell. The uncorrected energy comes out at -5.0324 eV per atom. The formation energy is -0.4840 eV per atom. The volume comes out at 23.58 Å³ per atom.

Lattice parameters (Å, degrees): 3.946 3.946 3.497 90.00 90.00 120.00
Atoms (fractional coordinates):
1 Ca 0.000 0.000 0.000
2 Pt 0.667 0.333 0.500

---

Computed, not measured: a relaxed structure of Ca3Pt2 at the PBEsol level of DFT.

Its total magnetization is 0.0 Bohr magnetons per cell. The uncorrected energy comes out at -4.8566 eV per atom. The formation energy is -0.7913 eV per atom. The volume comes out at 24.19 Å³ per atom.

Lattice parameters (Å, degrees): 7.481 7.481 7.481 71.01 71.01 71.01
Atoms (fractional coordinates):
1 Ca 0.000 0.000 0.000
2 Ca 0.153 0.399 0.666
3 Ca 0.201 0.201 0.201
4 Ca 0.334 0.847 0.601
5 Ca 0.399 0.666 0.153
6 Ca 0.601 0.334 0.847
7 Ca 0.666 0.153 0.399
8 Ca 0.799 0.799 0.799
9 Ca 0.847 0.601 0.334
10 Pt 0.046 0.841 0.413
11 Pt 0.159 0.587 0.954
12 Pt 0.413 0.046 0.841
13 Pt 0.587 0.954 0.159
14 Pt 0.841 0.413 0.046
15 Pt 0.954 0.159 0.587